Entry i
# PrDy3Y3

A geometry-optimized PrDy3Y3 structure (PBE, the Alexandria database).

Output
As for the volume: 33.50 Å³/atom.

The structure in POSCAR format:
```
PrDy3Y3
1.0
7.185 0.000 0.000
-2.395 6.139 0.000
-2.395 -3.070 5.317
Dy Y Pr
3 3 1
Cartesian
2.236 2.746 0.000
-2.554 1.697 2.939
2.236 -1.373 2.378
6.078 2.318 0.000
6.078 -1.159 2.008
1.288 1.910 3.309
3.620 0.000 0.000
```

***

Entry ii
# PrDy3Y3

A geometry-optimized PrDy3Y3 structure (PBE, the Alexandria database).

Output
As for the volume: 33.39 Å³/atom.

The structure in POSCAR format:
```
PrDy3Y3
1.0
-7.379 6.312 -15.089
5.406 -7.505 0.276
-4.945 -2.878 7.273
Y Dy Pr
12 12 4
Cartesian
-5.436 -1.387 -7.124
-8.059 0.526 -5.466
1.293 -4.395 1.509
-1.427 -6.798 2.385
-2.507 -1.956 -9.219
-1.408 -3.187 3.335
-4.361 0.071 -0.551
-4.690 -2.895 -1.963
0.492 -2.099 -3.831
-2.192 -4.012 -3.652
-5.184 2.256 -6.054
-2.649 1.123 -7.768
-8.203 0.324 -9.067
-4.719 -0.043 -3.888
-2.219 -1.161 -5.578
-1.744 -6.319 -1.497
-5.490 2.728 -9.926
-2.565 -4.125 -6.990
-7.398 -1.964 -3.723
-4.420 -2.112 1.664
-1.486 -2.714 -0.403
-5.524 -0.873 -10.878
-4.270 -5.190 0.211
1.134 -4.595 -2.090
-1.373 0.731 -2.514
-5.531 -4.803 -5.006
-10.799 2.717 -8.819
-3.493 -0.549 -13.757
```

***

Unit: kJ/mol of atoms. Relative energies: entry i 9.5; entry ii 0.0.

***

Entry i
# Pr4DyY

A geometry-optimized Pr4DyY structure (PBE, the Alexandria database).

Output
As for the volume: 41.07 Å³/atom.

The structure in POSCAR format:
```
Pr4DyY
1.0
-3.386 -0.309 -0.889
-1.043 -5.771 5.976
-1.984 6.036 5.453
Pr Dy Y
4 1 1
Cartesian
-3.433 2.816 5.144
-2.980 -2.860 5.395
-2.305 0.202 8.702
-4.109 -0.246 1.838
-1.693 -0.155 -0.445
-1.513 0.133 5.715
```

***

Entry ii
# Pr4DyY

A geometry-optimized Pr4DyY structure (PBE, the Alexandria database).

Output
As for the volume: 34.92 Å³/atom.

The structure in POSCAR format:
```
Pr4DyY
1.0
-5.360 -3.225 5.273
-4.400 -6.721 1.550
3.924 -1.920 2.815
Pr Dy Y
4 1 1
Cartesian
-6.185 -9.262 7.103
0.653 -5.253 5.101
0.348 -2.604 2.535
-6.490 -6.613 4.537
0.000 0.000 0.000
-2.918 -5.933 4.819
```

***

Unit: kJ/mol of atoms. Relative energies: entry i 55.8; entry ii 0.0.

***

Entry i
# Pr7DyY4

A geometry-optimized Pr7DyY4 structure (PBE, the Alexandria database).

Output
As for the volume: 35.07 Å³/atom.

The structure in POSCAR format:
```
Pr7DyY4
1.0
5.468 -1.490 2.405
0.506 6.618 2.939
1.634 -1.362 11.742
Y Pr Dy
4 7 1
Cartesian
4.415 3.998 12.312
3.429 2.835 6.134
4.179 0.931 10.952
3.193 -0.232 4.774
1.318 2.722 2.607
5.496 0.085 7.822
6.290 1.044 14.479
1.843 0.190 8.210
5.765 3.576 8.876
2.734 -0.745 1.202
2.112 3.681 9.263
0.000 0.000 0.000
```

***

Entry ii
# Pr7DyY4

A geometry-optimized Pr7DyY4 structure (PBE, the Alexandria database).

Output
As for the volume: 35.25 Å³/atom.

The structure in POSCAR format:
```
Pr7DyY4
1.0
6.067 0.000 0.000
3.033 9.187 2.012
3.033 1.810 7.987
Dy Pr Y
1 7 4
Cartesian
0.000 0.000 0.000
6.067 8.536 8.038
9.100 9.074 6.080
3.033 5.605 3.329
3.033 1.924 3.919
3.033 0.000 0.000
9.100 5.393 6.670
6.067 2.461 1.961
6.067 5.293 8.407
6.067 5.704 1.592
6.067 7.221 4.962
6.067 3.776 5.037
```

***

Unit: kJ/mol of atoms. Relative energies: entry i 0.0; entry ii 6.9.

***

Entry i
# PrDy6Y4

A geometry-optimized PrDy6Y4 structure (PBE, the Alexandria database).

Output
As for the volume: 33.71 Å³/atom.

The structure in POSCAR format:
```
PrDy6Y4
1.0
7.466 -3.013 -5.546
-5.185 8.044 1.997
-1.942 3.013 9.095
Dy Y Pr
6 4 1
Cartesian
3.435 0.175 -1.445
2.762 0.000 1.774
1.140 2.515 -1.774
-1.240 4.987 4.101
-3.913 6.070 8.260
-5.072 7.869 5.722
-1.301 2.018 5.824
0.211 2.878 1.943
-3.330 5.166 1.382
-2.370 9.040 7.489
0.000 0.000 0.000
```

***

Entry ii
# PrDy6Y4

A geometry-optimized PrDy6Y4 structure (PBE, the Alexandria database).

Output
As for the volume: 34.79 Å³/atom.

The structure in POSCAR format:
```
PrDy6Y4
1.0
-1.246 -5.293 5.272
7.425 -1.464 0.285
-2.367 7.973 2.005
Dy Y Pr
6 4 1
Cartesian
3.713 -0.732 0.142
5.405 -0.783 3.359
-0.623 -2.646 2.636
1.305 -2.593 5.717
1.918 1.307 4.337
-1.004 4.502 1.710
3.504 5.137 2.349
5.270 -4.900 5.402
-2.291 2.578 5.683
1.140 -0.384 1.688
3.090 -3.378 2.778
```

***

Unit: kJ/mol of atoms. Relative energies: entry i 0.0; entry ii 13.0.